# NaMg2MnO4 PBE+U relaxed
data_NaMg2MnO4
_chemical_formula_sum 'Na4 Mg8 Mn4 O16'
_space_group_name_H-M_alt 'C m c m'
_space_group_IT_number 63
_space_group_name_Hall '-C 2c 2'
_cell_length_a 3.047
_cell_length_b 10.876
_cell_length_c 11.242
_cell_angle_alpha 90.00
_cell_angle_beta 90.00
_cell_angle_gamma 90.00
loop_
_atom_site_label
_atom_site_fract_x
_atom_site_fract_y
_atom_site_fract_z
Na1 0.000 0.132 0.250
Mg1 0.000 0.372 0.020
Mn1 0.000 0.135 0.750
O1 0.000 0.000 0.000
O2 0.000 0.240 0.612
O3 0.000 0.470 0.250
# Final energy (Ha/atom): -0.2166
# Magnetic moment (Bohr magnetons per cell): 16.00